A relaxed FeSN2O crystal. Source: Alexandria via LeMat-Bulk, functional GGA+U.

Geometry as CIF:
```
data_FeSN2O
_chemical_formula_sum 'Fe1 S1 N2 O1'
_space_group_name_H-M_alt 'P 4/m m m'
_space_group_IT_number 123
_space_group_name_Hall '-P 4 2'
_cell_length_a 3.7903
_cell_length_b 3.7903
_cell_length_c 3.7462
_cell_angle_alpha 90.00
_cell_angle_beta 90.00
_cell_angle_gamma 90.00
loop_
_atom_site_label
_atom_site_type_symbol
_atom_site_fract_x
_atom_site_fract_y
_atom_site_fract_z
Fe1 Fe 0.0000 0.0000 0.0000
S1 S 0.5000 0.5000 0.0000
N1 N 0.0000 0.5000 0.5000
O1 O 0.5000 0.5000 0.5000
```

E_tot ... -21.4 eV/cell
M_tot ... 5.19 μB per cell